Computed, not measured: a relaxed RbGe2Sb2 crystal at the GGA-PBEsol level of DFT.

Calculated values
Fermi-level density of states: 1.74 states/eV per cell
Uncorrected energy: -20.4 eV for the cell shown

Geometry as CIF:
```
data_RbGe2Sb2
_chemical_formula_sum 'Rb1 Ge2 Sb2'
_cell_length_a 4.9425
_cell_length_b 4.9425
_cell_length_c 7.3261
_cell_angle_alpha 109.71
_cell_angle_beta 109.71
_cell_angle_gamma 90.00
_symmetry_space_group_name_H-M 'P 1'
_symmetry_Int_Tables_number 1
loop_
_symmetry_equiv_pos_as_xyz
'x,y,z'
loop_
_atom_site_label
_atom_site_type_symbol
_atom_site_fract_x
_atom_site_fract_y
_atom_site_fract_z
Ge1 Ge 0.7500 0.2500 0.5000
Ge2 Ge 0.2500 0.7500 0.5000
Sb1 Sb 0.6500 0.6500 0.3000
Sb2 Sb 0.3500 0.3500 0.7000
Rb1 Rb 0.0000 0.0000 0.0000
```